{
  "formula": "BaPdPtRh2",
  "functional": "PBE-GGA",
  "state": "relaxed",
  "cell": [[-2.361, -2.000, -3.752], [2.977, -4.087, 0.305], [-3.148, -2.063, 3.080]],
  "species": ["Pd", "Rh", "Rh", "Ba", "Pt"],
  "fractional_positions": [[0.000, 0.000, 0.000], [0.000, 0.000, 0.500], [0.500, 0.000, 0.000], [0.500, 0.500, 0.500], [0.000, 0.500, 0.000]],
  "crystal_system": "tetragonal",
  "ef_ev_per_atom": 0.55
}



{
  "formula": "BaPd2PtS",
  "functional": "PBE-GGA",
  "state": "relaxed",
  "cell": [[-1.825, -1.274, 4.685], [-2.938, -2.815, -1.910], [3.475, -3.838, 0.310]],
  "species": ["S", "Pd", "Pd", "Ba", "Pt"],
  "fractional_positions": [[0.000, 0.500, 0.000], [0.000, 0.000, 0.500], [0.500, 0.000, 0.000], [0.500, 0.500, 0.500], [0.000, 0.000, 0.000]],
  "e_form_raw_ev_per_atom": -0.257,
  "crystal_system": "tetragonal"
}



{
  "formula": "Ba2Sb3Pd4Pt",
  "functional": "PBE-GGA",
  "state": "relaxed",
  "cell": [[-3.984, -2.183, -1.249], [2.129, -4.173, 0.503], [-3.077, -0.319, 10.375]],
  "species": ["Ba", "Ba", "Sb", "Sb", "Sb", "Pd", "Pd", "Pd", "Pd", "Pt"],
  "fractional_positions": [[0.500, 0.000, 0.258], [0.000, 0.500, 0.742], [0.000, 0.000, 0.500], [0.500, 0.000, 0.876], [0.000, 0.500, 0.124], [0.500, 0.500, 0.000], [0.000, 0.000, 0.000], [0.500, 0.000, 0.628], [0.000, 0.500, 0.372], [0.500, 0.500, 0.500]],
  "e_form_raw_ev_per_atom": -0.695,
  "crystal_system": "tetragonal"
}



Computed uncorrected energy, in the same sequence as the records: -5.02; -4.75; -5.00 eV/atom.
Computed DOS at the Fermi energy, in the same sequence as the records: 1.21; 0.35; 0.51 states/eV per atom.